(1)
TmIn2Pd, relaxed, DFT GGA-PBE; V = 22.1 Å³/atom; space group = I4/mmm
1.0
-1.467 -2.709 -3.556
-1.131 -3.396 3.054
-6.053 6.123 0.944
Pd In Tm
2 4 2
Cartesian
-4.409 0.181 -1.431
-4.241 -0.162 1.873
-0.733 -1.355 -1.778
-5.154 2.153 0.486
-3.496 -2.134 -0.044
-0.565 -1.698 1.527
-2.043 0.854 0.193
-6.607 -0.835 0.249



(2)
Tm6InPd, relaxed, DFT GGA-PBE; V = 29.5 Å³/atom; space group = C2/m
1.0
6.655 -0.444 -0.477
-2.887 6.012 -0.477
-1.150 -1.699 6.392
Tm Pd In
6 1 1
Cartesian
0.179 0.264 4.400
-0.066 4.071 4.069
2.439 3.605 1.039
3.803 1.453 4.069
-1.185 2.416 1.370
2.683 -0.202 1.370
1.309 1.935 2.719
0.000 0.000 0.000



(3)
Tm11In9Pd4, relaxed, DFT GGA-PBE; V = 23.9 Å³/atom; space group = Cmmm
1.0
3.622 0.000 0.000
0.000 12.070 -5.116
0.000 0.039 13.109
Pd In Tm
4 9 11
Cartesian
1.811 5.426 0.935
1.811 9.116 3.371
1.811 6.682 7.058
1.811 2.992 4.622
1.811 4.471 9.189
1.811 1.902 7.493
1.811 11.239 5.533
1.811 9.504 8.161
1.811 2.604 -0.167
1.811 6.054 3.997
1.811 7.638 -1.196
1.811 10.207 0.500
1.811 0.869 2.460
0.000 0.000 0.000
0.000 10.147 -2.204
0.000 7.113 9.168
0.000 4.514 6.330
0.000 1.961 10.197
0.000 8.384 5.535
0.000 11.226 2.937
0.000 4.996 -1.175
0.000 3.724 2.459
0.000 7.594 1.663
0.000 0.883 5.056



(4)
Tm2In3Pd7, relaxed, DFT GGA-PBE; V = 20.1 Å³/atom; space group = Cmmm
1.0
4.765 0.000 0.000
0.000 4.832 0.000
0.000 -2.416 10.462
Tm Pd In
2 7 3
Cartesian
0.000 2.416 7.433
0.000 0.000 3.030
0.000 0.000 5.951
0.000 0.000 0.000
0.000 0.000 8.978
2.382 0.000 1.510
0.000 2.416 4.512
2.382 2.416 8.952
0.000 2.416 1.484
2.382 0.000 7.231
2.382 2.416 0.000
2.382 2.416 3.232



(5)
Tm2InPd8, relaxed, DFT GGA-PBE; V = 17.5 Å³/atom; space group = C2/m
1.0
4.193 0.000 0.000
0.000 6.525 0.294
-2.097 -2.428 6.907
Pd In Tm
8 1 2
Cartesian
2.097 5.079 2.644
0.000 -0.981 4.557
0.000 1.615 5.792
2.097 3.568 5.136
2.097 2.483 1.409
2.097 -0.463 6.488
0.000 4.561 0.713
0.000 0.530 2.065
2.097 0.000 0.000
2.097 0.800 4.023
0.000 3.297 3.178



(6)
TmInPd6, relaxed, DFT GGA-PBE; V = 16.8 Å³/atom; space group = P4/mmm
1.0
-2.159 -1.558 3.071
-0.209 -3.558 -1.953
6.894 -2.398 3.631
Pd In Tm
6 1 1
Cartesian
5.091 -3.586 1.760
1.594 -2.370 -0.082
4.116 -2.586 4.272
0.619 -1.370 2.430
2.263 -3.757 2.374
-1.184 -2.558 0.559
0.000 0.000 0.000
3.447 -1.199 1.815



(7)
YTmInPd, relaxed, DFT GGA-PBE; V = 23.9 Å³/atom; space group = F-43m
1.0
5.131 0.000 0.000
2.565 4.443 0.000
2.565 1.481 4.189
Y In Pd Tm
1 1 1 1
Cartesian
7.696 4.443 3.142
5.131 2.962 2.095
0.000 0.000 0.000
2.565 1.481 1.047



(8)
Tm2Zn2InPd5, relaxed, DFT GGA-PBE; V = 17.9 Å³/atom; space group = P4/mbm
1.0
-0.236 -2.018 -3.212
6.754 -6.103 3.337
-6.930 -5.501 3.965
Pd Tm Zn In
10 4 4 2
Cartesian
-1.212 -10.967 4.729
-1.172 -8.374 3.098
0.761 -5.248 0.992
-5.144 -5.794 1.769
0.800 -2.655 -0.640
-3.583 -3.759 0.376
-2.086 -5.929 1.629
1.674 -7.693 2.461
3.259 -4.060 0.062
4.732 -7.828 2.321
0.884 -8.747 5.430
3.346 -5.091 2.952
-3.522 -6.513 4.350
-1.060 -2.856 1.872
3.310 -7.453 4.439
-1.902 -8.625 5.558
1.726 -2.979 1.744
-3.486 -4.150 2.863
-0.088 -5.802 3.651
0.000 0.000 0.000



| no. | total DFT energy (no corrections) (eV/f.u.) | energy of formation from the pure elements (kcal/mol of atoms) |
| --- | --- | --- |
| 1 | -17.50 | -13.6 |
| 2 | -35.40 | -1.8 |
| 3 | -110.66 | -15.4 |
| 4 | -60.23 | -12.9 |
| 5 | -60.52 | -15.3 |
| 6 | -43.77 | -15.6 |
| 7 | -21.36 | -14.4 |
| 8 | -47.39 | -16.6 |